No. 1
The following is a DFT calculation (PBE-GGA) of a relaxed Hf2MgCdW crystal.

a = 5.004 Å, b = 5.004 Å, c = 5.374 Å
α = 90.00°, β = 90.00°, γ = 90.00°
Sites, in units of the cell vectors:
Hf  0.000  0.500  0.000
Hf  0.500  0.000  0.000
Mg  0.000  0.000  0.500
Cd  0.500  0.500  0.500
W  0.500  0.500  0.000

Computed properties:
* calculated volume: 26.92 Å³/atom
* DFT formation energy: 4.38 eV/f.u.


No. 2
The following is a DFT calculation (PBE-GGA) of a relaxed Y2HfMgCd crystal.

a = 5.519 Å, b = 5.519 Å, c = 4.893 Å
α = 90.00°, β = 90.00°, γ = 90.00°
Sites, in units of the cell vectors:
Y  0.000  0.500  0.000
Y  0.500  0.000  0.000
Hf  0.000  0.000  0.500
Mg  0.500  0.500  0.000
Cd  0.500  0.500  0.500

Computed properties:
* calculated volume: 29.81 Å³/atom
* DFT formation energy: 4.18 eV/f.u.